Density functional theory data (GGA-PBE) for Y4ZnI5 after structural relaxation.

* raw formation energy: -1.015 eV/atom

```
data_Y4ZnI5
_chemical_formula_sum 'Y8 Zn2 I10'
_space_group_name_H-M_alt 'C 1 2/m 1'
_space_group_IT_number 12
_cell_length_a 19.203
_cell_length_b 4.123
_cell_length_c 8.945
_cell_angle_alpha 90.00
_cell_angle_beta 102.55
_cell_angle_gamma 90.00
loop_
_space_group_symop_operation_xyz
'x,y,z'
'-x,-y,-z'
'-x,y,-z'
'x,-y,z'
'x+1/2,y+1/2,z'
'-x+1/2,-y+1/2,-z'
'-x+1/2,y+1/2,-z'
'x+1/2,-y+1/2,z'
loop_
_atom_site_label
_atom_site_type_symbol
_atom_site_fract_x
_atom_site_fract_y
_atom_site_fract_z
Y1 Y 0.000 0.000 0.217
Y2 Y 0.147 0.500 0.075
Zn1 Zn 0.000 0.500 0.000
I1 I 0.000 0.500 0.500
I2 I 0.167 0.000 0.340
I3 I 0.174 0.000 0.828
```

=====

Density functional theory data (GGA-PBE) for Ac3Tl4CrS8 after structural relaxation.

* raw formation energy: -1.159 eV/atom

```
data_Ac3Tl4CrS8
_chemical_formula_sum 'Ac9 Tl12 Cr3 S24'
_space_group_name_H-M_alt 'R -3 m'
_space_group_IT_number 166
_space_group_name_Hall '-R 3 2"'
_cell_length_a 8.4644
_cell_length_b 8.4644
_cell_length_c 22.4868
_cell_angle_alpha 90.00
_cell_angle_beta 90.00
_cell_angle_gamma 120.00
loop_
_atom_site_label
_atom_site_type_symbol
_atom_site_fract_x
_atom_site_fract_y
_atom_site_fract_z
Ac1 Ac 0.0000 0.5000 0.0000
Tl1 Tl 0.0000 0.0000 0.5000
Tl2 Tl 0.0000 0.5000 0.5000
Cr1 Cr 0.0000 0.0000 0.0000
S1 S 0.0000 0.0000 0.2607
S2 S 0.0402 0.5201 0.7316
```

=====

Density functional theory data (GGA-PBE) for ErTm2Ag4 after structural relaxation.

* calculated total energy: -0.2694 Ry/atom

```
data_ErTm2Ag4
_chemical_formula_sum 'Er2 Tm4 Ag8'
_space_group_name_H-M_alt 'I 4/m m m'
_space_group_IT_number 139
_space_group_name_Hall '-I 4 2'
_cell_length_a 7.075
_cell_length_b 7.075
_cell_length_c 7.044
_cell_angle_alpha 90.00
_cell_angle_beta 90.00
_cell_angle_gamma 90.00
loop_
_atom_site_label
_atom_site_type_symbol
_atom_site_fract_x
_atom_site_fract_y
_atom_site_fract_z
Er1 Er 0.000 0.000 0.000
Tm1 Tm 0.000 0.500 0.000
Ag1 Ag 0.250 0.250 0.250
```

=====

no.,total magnetization (μB/f.u.)
1,0.0
2,3.0
3,0.0